# NaMn2GeO6 (PBE+U, optimized geometry)
# **DOS(E_F)**: 0.37 states/eV per cell
# **SG**: P1, No. 1
# **Electronic total energy**: -0.2422 hartree per atom
data_NaMn2GeO6
_chemical_formula_sum 'Na1 Mn2 Ge1 O6'
_symmetry_space_group_name_H-M 'P 1'
_symmetry_Int_Tables_number 1
_symmetry_space_group_name_Hall 'P 1'
_cell_length_a 5.053
_cell_length_b 5.118
_cell_length_c 5.452
_cell_angle_alpha 63.98
_cell_angle_beta 89.58
_cell_angle_gamma 60.60
loop_
_atom_site_label
_atom_site_fract_x
_atom_site_fract_y
_atom_site_fract_z
Na1 0.000 0.000 0.000
Mn1 0.217 0.568 0.636
Mn2 0.725 0.541 0.165
Ge1 0.525 0.948 0.568
O1 0.154 0.037 0.388
O2 0.356 0.098 0.831
O3 0.462 0.404 0.382
O4 0.560 0.516 0.845
O5 0.813 0.738 0.382
O6 0.924 0.711 0.845